This record from Alexandria via LeMat-Bulk describes a relaxed Tm2Be4PdPt3 crystal. The functional is GGA-PBE.

```
Tm2Be4PdPt3
1.0
3.9747 0.0000 0.0000
0.0000 3.9747 0.0000
0.0000 0.0000 9.5168
Be Pt Tm Pd
4 3 2 1
Direct
0.0000 0.5000 0.3722 Be
0.5000 0.5000 0.0000 Be
0.0000 0.0000 0.0000 Be
0.5000 0.0000 0.6278 Be
0.0000 0.0000 0.5000 Pt
0.0000 0.5000 0.1299 Pt
0.5000 0.0000 0.8701 Pt
0.0000 0.5000 0.7525 Tm
0.5000 0.0000 0.2475 Tm
0.5000 0.5000 0.5000 Pd
```

Results
N(E_F): 0.48 states/eV/atom
Total energy: -5.586 eV/atom
SG: No. 115
Volume: 150 Å³/cell
ΔH_f (0 K): -0.869 eV per atom

This record from Alexandria via LeMat-Bulk describes a relaxed Y2Be3PdPt4 crystal. The functional is GGA-PBE.

```
Y2Be3PdPt4
1.0
-2.8401 -0.5210 -2.7004
2.7500 -0.4924 -2.7973
0.0854 -10.2790 1.8933
Pt Y Be Pd
4 2 3 1
Direct
0.5000 0.5000 0.0000 Pt
0.0000 0.5000 0.3320 Pt
0.5000 0.0000 0.6680 Pt
0.0000 0.0000 0.0000 Pt
0.5000 0.0000 0.2438 Y
0.0000 0.5000 0.7562 Y
0.5000 0.0000 0.8833 Be
0.0000 0.0000 0.5000 Be
0.0000 0.5000 0.1167 Be
0.5000 0.5000 0.5000 Pd
```

Results
N(E_F): 0.32 states/eV/atom
Total energy: -6.219 eV/atom
SG: No. 115
Volume: 163 Å³/cell
ΔH_f (0 K): -0.872 eV per atom

This record from Alexandria via LeMat-Bulk describes a relaxed BeZnPdPt crystal. The functional is GGA-PBE.

```
BeZnPdPt
1.0
-0.7544 -0.9182 -2.5443
-0.8116 -2.4429 1.1223
-6.0674 2.4381 0.9192
Zn Be Pd Pt
1 1 1 1
Direct
0.5000 0.5000 0.1089 Zn
0.5000 0.5000 0.6100 Be
0.0000 0.0000 0.3863 Pd
0.0000 0.0000 0.8228 Pt
```

Results
N(E_F): 0.22 states/eV/atom
Total energy: -4.691 eV/atom
SG: No. 99
Volume: 52 Å³/cell
ΔH_f (0 K): -0.633 eV per atom

This record from Alexandria via LeMat-Bulk describes a relaxed PuBePd crystal. The functional is GGA-PBE.

```
PuBePd
1.0
3.2929 0.0000 0.0000
0.0000 3.2929 0.0000
-1.6465 -1.6465 8.2610
Pu Be Pd
2 2 2
Direct
0.2778 0.2778 0.5556 Pu
0.7222 0.7222 0.4444 Pu
0.0000 0.5000 0.0000 Be
0.5000 0.0000 0.0000 Be
0.0943 0.0943 0.1887 Pd
0.9057 0.9057 0.8113 Pd
```

Results
N(E_F): 1.39 states/eV/atom
Total energy: -7.731 eV/atom
SG: No. 139
Volume: 90 Å³/cell
ΔH_f (0 K): 0.020 eV per atom
Excess energy over the best structure of this formula in the dataset: 6.36 kcal/mol of atoms